Material: SiPb
Method: DFT, PBE
State: relaxed

Output
**Space group**: Fm-3m
**Calculated volume**: 199.7 Å³/cell
**E_form (uncorrected)**: 0.544 eV per atom
**Size of the total moment**: 0.0 μB/f.u.

Cell lengths 5.8448, 5.8448, 5.8448 Å; angles 90.00, 90.00, 90.00 degrees
Sites, in units of the cell vectors:
Si1 0.0000 0.0000 0.0000
Si2 0.0000 0.5000 0.5000
Si3 0.5000 0.0000 0.5000
Si4 0.5000 0.5000 0.0000
Pb1 0.0000 0.0000 0.5000
Pb2 0.0000 0.5000 0.0000
Pb3 0.5000 0.0000 0.0000
Pb4 0.5000 0.5000 0.5000